Cu4Ni5 (meta-GGA SCAN, PBEsol geometry); final energy = -141.1 eV for the cell shown; crystal system = tetragonal; symmetry = I4/mmm (139); magnetic moment = 2.75 Bohr magnetons per cell; energy of formation = 64 meV/atom
1.0
3.484 0.000 0.000
1.742 5.254 0.000
1.742 0.000 5.254
Ni Cu
5 4
Cartesian
3.484 3.516 0.000
1.742 0.000 1.738
3.484 0.000 3.516
1.742 1.738 0.000
0.000 0.000 0.000
3.484 3.516 3.516
3.484 1.739 1.739
1.742 1.739 3.516
1.742 3.516 1.739